This record from Alexandria describes a relaxed structure of Ba2Ga2Cu. The functional is PBE.

Output
The calculation puts the formation energy at -0.061 eV/atom. For the distance to the lowest polymorph of the same formula, the calculation gives 0.184 eV per atom. For the density of states at the Fermi level, the calculation gives 11.52 states/eV per cell. As for the total energy: -2.86 eV/atom.

a = 7.342 Å, b = 7.342 Å, c = 5.305 Å
α = 90.00°, β = 90.00°, γ = 90.00°
Positions (direct):
Cu 0.000 0.000 0.000
Cu 0.500 0.500 0.000
Ba 0.173 0.673 0.500
Ba 0.673 0.827 0.500
Ba 0.827 0.327 0.500
Ba 0.327 0.173 0.500
Ga 0.367 0.867 0.000
Ga 0.867 0.633 0.000
Ga 0.633 0.133 0.000
Ga 0.133 0.367 0.000

***

This record from Alexandria describes a relaxed structure of Ba2Ga2Cu. The functional is PBE.

Output
The calculation puts the formation energy at -0.245 eV/atom. For the distance to the lowest polymorph of the same formula, the calculation gives 0.000 eV per atom. For the density of states at the Fermi level, the calculation gives 6.99 states/eV per cell. As for the total energy: -3.04 eV/atom.

a = 5.152 Å, b = 6.126 Å, c = 10.421 Å
α = 81.53°, β = 75.69°, γ = 65.13°
Positions (direct):
Ba 0.682 0.306 0.330
Ba 0.909 0.307 0.876
Ba 0.318 0.694 0.670
Ba 0.091 0.693 0.124
Ga 0.099 0.259 0.543
Ga 0.598 0.918 0.885
Ga 0.901 0.741 0.457
Ga 0.402 0.082 0.115
Cu 0.642 0.073 0.642
Cu 0.358 0.927 0.358

***

This record from Alexandria describes a relaxed structure of BaGa3Cu3. The functional is PBE.

Output
The calculation puts the formation energy at -0.093 eV/atom. For the distance to the lowest polymorph of the same formula, the calculation gives 0.000 eV per atom. For the density of states at the Fermi level, the calculation gives 5.86 states/eV per cell. As for the total energy: -3.42 eV/atom.

a = 6.753 Å, b = 6.753 Å, c = 8.537 Å
α = 66.70°, β = 66.70°, γ = 60.00°
Positions (direct):
Ba 0.321 0.321 0.038
Ba 0.679 0.679 0.962
Ga 0.095 0.634 0.336
Ga 0.936 0.095 0.336
Ga 0.634 0.936 0.336
Ga 0.366 0.064 0.664
Ga 0.064 0.905 0.664
Ga 0.905 0.366 0.664
Cu 0.491 0.654 0.641
Cu 0.654 0.214 0.641
Cu 0.214 0.491 0.641
Cu 0.786 0.509 0.359
Cu 0.346 0.786 0.359
Cu 0.509 0.346 0.359

***

This record from Alexandria describes a relaxed structure of Ba3Ga3Cu. The functional is PBE.

Output
The calculation puts the formation energy at -0.279 eV/atom. For the density of states at the Fermi level, the calculation gives 12.77 states/eV per cell. As for the total energy: -2.99 eV/atom.

a = 4.445 Å, b = 6.895 Å, c = 15.483 Å
α = 83.93°, β = 81.75°, γ = 71.20°
Positions (direct):
Ba 0.516 0.358 0.610
Ba 0.484 0.642 0.390
Ba 0.257 0.250 0.236
Ba 0.743 0.750 0.764
Ba 0.388 0.303 0.921
Ba 0.612 0.697 0.079
Ga 0.798 0.864 0.540
Ga 0.202 0.136 0.460
Ga 0.092 0.892 0.923
Ga 0.908 0.108 0.077
Ga 0.953 0.856 0.237
Ga 0.047 0.144 0.763
Cu 0.786 0.041 0.386
Cu 0.214 0.959 0.614

***

This record from Alexandria describes a relaxed structure of Ba8Ga2Cu. The functional is PBE.

Output
The calculation puts the formation energy at -0.106 eV/atom. For the density of states at the Fermi level, the calculation gives 10.65 states/eV per cell. As for the total energy: -2.43 eV/atom.

a = 5.778 Å, b = 8.095 Å, c = 11.007 Å
α = 104.49°, β = 105.22°, γ = 90.00°
Positions (direct):
Ba 0.405 0.567 0.810
Ba 0.664 0.964 0.329
Ba 0.791 0.683 0.581
Ba 0.963 0.199 0.926
Ba 0.209 0.317 0.419
Ba 0.336 0.036 0.671
Ba 0.595 0.433 0.190
Ba 0.037 0.801 0.074
Ga 0.812 0.283 0.623
Ga 0.188 0.717 0.377
Cu 0.500 0.000 0.000

***

This record from Alexandria describes a relaxed structure of Ba2Ga2Cu. The functional is PBE.

Output
The calculation puts the formation energy at -0.210 eV/atom. For the distance to the lowest polymorph of the same formula, the calculation gives 0.036 eV per atom. For the density of states at the Fermi level, the calculation gives 2.89 states/eV per cell. As for the total energy: -3.01 eV/atom.

a = 4.274 Å, b = 4.469 Å, c = 8.355 Å
α = 105.51°, β = 90.00°, γ = 90.00°
Positions (direct):
Ba 0.000 0.691 0.382
Ba 0.000 0.926 0.853
Ga 0.500 0.316 0.632
Ga 0.500 0.522 0.044
Cu 0.500 0.087 0.173